Li8CoO4F2 | GGA+U | relaxed

Calculated values
- Volume: 279.4 Å³/cell
- Magnetic moment: 4.00 μB/cell
- Mass density: 2.57 g/cm3
- Energy above the lowest structure with this stoichiometry: 27 meV/atom

a = 5.3923 Å, b = 5.6090 Å, c = 10.6944 Å
α = 77.68°, β = 81.37°, γ = 62.33°
Fractional positions:
Li 0.0184 0.2314 0.3379
Li 0.0616 0.9320 0.1647
Li 0.2664 0.3672 0.8105
Li 0.2793 0.6624 0.9577
Li 0.3400 0.0690 0.6678
Li 0.3568 0.3144 0.1867
Li 0.3754 0.5798 0.3165
Li 0.4164 0.7510 0.5079
Li 0.5836 0.2490 0.4921
Li 0.6246 0.4202 0.6835
Li 0.6432 0.6856 0.8133
Li 0.6600 0.9310 0.3322
Li 0.7207 0.3376 0.0423
Li 0.7336 0.6328 0.1895
Li 0.9384 0.0680 0.8353
Li 0.9816 0.7686 0.6621
Co 0.0000 0.5000 0.5000
Co 0.5000 0.0000 0.0000
O 0.2960 0.4521 0.6148
O 0.3079 0.0008 0.8637
O 0.3252 0.2553 0.3823
O 0.4125 0.6458 0.1221
O 0.5875 0.3542 0.8779
O 0.6748 0.7447 0.6177
O 0.6921 0.9992 0.1363
O 0.7040 0.5479 0.3852
F 0.0293 0.3001 0.1444
F 0.0322 0.8892 0.3597
F 0.9678 0.1108 0.6403
F 0.9707 0.6999 0.8556


Li4Co4O3F9 | GGA+U | relaxed

Calculated values
- Volume: 209.2 Å³/cell
- Magnetic moment: 13.01 μB/cell
- Mass density: 3.83 g/cm3
- Raw total energy: -0.185 Ha/atom

a = 5.0700 Å, b = 5.5058 Å, c = 8.8854 Å
α = 72.64°, β = 75.46°, γ = 63.12°
Fractional positions:
Li 0.0000 0.0000 0.0000
Li 0.2276 0.2375 0.2546
Li 0.4763 0.5036 0.4943
Li 0.7210 0.7448 0.7601
Co 0.1264 0.0307 0.6090
Co 0.4494 0.2748 0.8514
Co 0.6785 0.5089 0.1021
Co 0.9007 0.7577 0.3499
O 0.6344 0.4437 0.9304
O 0.7398 0.2016 0.6595
O 0.7434 0.5504 0.2742
F 0.1309 0.2769 0.0491
F 0.1375 0.9290 0.4058
F 0.1590 0.6280 0.7131
F 0.1992 0.3694 0.4616
F 0.2307 0.6913 0.1533
F 0.2653 0.0393 0.7993
F 0.5914 0.7996 0.5525
F 0.6563 0.1296 0.2174
F 0.7243 0.8658 0.9645


Li2Co4O3F8 | GGA+U | relaxed

Calculated values
- Volume: 200.3 Å³/cell
- Magnetic moment: 14.00 μB/cell
- Mass density: 3.73 g/cm3
- Raw total energy: -0.185 Ha/atom

a = 5.0446 Å, b = 6.3373 Å, c = 6.9963 Å
α = 108.70°, β = 104.89°, γ = 96.11°
Fractional positions:
Li 0.1846 0.1891 0.4096
Li 0.8154 0.8109 0.5904
Co 0.1595 0.6269 0.2282
Co 0.3937 0.2463 0.9670
Co 0.6063 0.7537 0.0330
Co 0.8405 0.3731 0.7718
O 0.2419 0.5281 0.9582
O 0.5000 0.0000 0.0000
O 0.7581 0.4719 0.0418
F 0.0170 0.8966 0.1867
F 0.1107 0.7059 0.4882
F 0.2992 0.3498 0.2498
F 0.4452 0.1973 0.6679
F 0.5548 0.8027 0.3321
F 0.7008 0.6502 0.7502
F 0.8893 0.2941 0.5118
F 0.9830 0.1034 0.8133


LiCo6O2F10 | GGA+U | relaxed

Calculated values
- Volume: 257.9 Å³/cell
- Magnetic moment: 5.07 μB/cell
- Mass density: 3.75 g/cm3
- Energy above the lowest structure with this stoichiometry: 0 meV/atom

a = 5.2638 Å, b = 5.3081 Å, c = 9.6292 Å
α = 98.02°, β = 95.47°, γ = 102.52°
Fractional positions:
Li 0.0000 0.0000 0.0000
Co 0.1651 0.9323 0.4872
Co 0.1944 0.6287 0.2192
Co 0.3870 0.8077 0.7840
Co 0.6566 0.3529 0.0074
Co 0.7123 0.3269 0.3487
Co 0.7130 0.3119 0.6752
O 0.0029 0.6347 0.3756
O 0.4076 0.0112 0.6369
F 0.0299 0.5951 0.7287
F 0.3470 0.0386 0.9610
F 0.3894 0.0081 0.3204
F 0.4918 0.4711 0.1848
F 0.5458 0.5250 0.8413
F 0.5581 0.4637 0.5170
F 0.7986 0.1203 0.8562
F 0.8891 0.2206 0.1561
F 0.9075 0.1502 0.4959
F 0.9674 0.6707 0.0551


Li4Co3OF8 | GGA+U | relaxed

Calculated values
- Volume: 158.4 Å³/cell
- Magnetic moment: 9.00 μB/cell
- Mass density: 3.91 g/cm3
- Raw total energy: -0.184 Ha/atom

a = 5.1008 Å, b = 5.1008 Å, c = 11.5308 Å
α = 101.33°, β = 101.33°, γ = 32.63°
Fractional positions:
Li 0.0000 0.0000 0.0000
Li 0.1016 0.1016 0.3135
Li 0.2193 0.2193 0.8765
Li 0.3828 0.3828 0.4267
Co 0.4651 0.4651 0.7489
Co 0.6528 0.6528 0.6027
Co 0.8034 0.8034 0.1702
O 0.0909 0.0909 0.7059
F 0.0432 0.0432 0.4700
F 0.1470 0.1470 0.1466
F 0.3119 0.3119 0.5854
F 0.3590 0.3590 0.0404
F 0.4447 0.4447 0.2633
F 0.5941 0.5941 0.9229
F 0.7491 0.7491 0.3479
F 0.8490 0.8490 0.8227


Li5Co7O3F13 | GGA+U | relaxed

Calculated values
- Volume: 315.8 Å³/cell
- Magnetic moment: 9.03 μB/cell
- Mass density: 3.90 g/cm3
- Energy above the lowest structure with this stoichiometry: 0 meV/atom

a = 6.0278 Å, b = 6.0826 Å, c = 10.4630 Å
α = 74.09°, β = 73.76°, γ = 60.35°
Fractional positions:
Li 0.0000 0.0000 0.0000
Li 0.0127 0.4889 0.4983
Li 0.0535 0.5687 0.8104
Li 0.4483 0.9561 0.6792
Li 0.5691 0.0597 0.3095
Co 0.2536 0.7384 0.2434
Co 0.4851 0.5180 0.0081
Co 0.5010 0.9965 0.0009
Co 0.5032 0.4880 0.5034
Co 0.7494 0.2523 0.7428
Co 0.9256 0.4873 0.1744
Co 0.9827 0.9962 0.5050
O 0.1362 0.6580 0.1182
O 0.5866 0.6643 0.1223
O 0.6440 0.1586 0.6134
F 0.1178 0.1367 0.6160
F 0.1196 0.1404 0.1141
F 0.1238 0.6278 0.6153
F 0.3621 0.8454 0.3818
F 0.3667 0.8927 0.8775
F 0.3744 0.3752 0.3838
F 0.3873 0.3681 0.8787
F 0.6245 0.1371 0.1125
F 0.6394 0.6166 0.6144
F 0.8470 0.3769 0.8750
F 0.8648 0.9007 0.8745
F 0.8846 0.3683 0.3796
F 0.9050 0.8528 0.3717


Li11Co2OF6 | GGA+U | relaxed

Calculated values
- Volume: 255.8 Å³/cell
- Magnetic moment: 3.82 μB/cell
- Mass density: 2.10 g/cm3
- Raw total energy: -0.151 Ha/atom

a = 5.7878 Å, b = 6.5754 Å, c = 7.6979 Å
α = 99.17°, β = 99.82°, γ = 113.67°
Fractional positions:
Li 0.0000 0.0000 0.0000
Li 0.0205 0.7173 0.5755
Li 0.0584 0.2034 0.6594
Li 0.2024 0.3757 0.2913
Li 0.2269 0.8285 0.2532
Li 0.3086 0.6606 0.8460
Li 0.5170 0.4654 0.0122
Li 0.5617 0.8408 0.5813
Li 0.5895 0.3116 0.6289
Li 0.7554 0.9019 0.2400
Li 0.9577 0.4439 0.9984
Co 0.5308 0.0736 0.9157
Co 0.5970 0.2311 0.2541
O 0.8576 0.1820 0.1334
F 0.2300 0.6562 0.4308
F 0.3379 0.6313 0.0940
F 0.4123 0.4428 0.7536
F 0.8573 0.8969 0.4885
F 0.8789 0.7116 0.0950
F 0.9560 0.4862 0.7349


LiCo2OF3 | GGA+U | relaxed

Calculated values
- Volume: 320.2 Å³/cell
- Magnetic moment: 23.94 μB/cell
- Mass density: 4.10 g/cm3
- Energy above the lowest structure with this stoichiometry: 13 meV/atom

a = 6.1104 Å, b = 6.1073 Å, c = 8.5792 Å
α = 90.00°, β = 90.14°, γ = 90.00°
Fractional positions:
Li 0.0000 0.0000 0.0000
Li 0.2347 0.2350 0.7569
Li 0.2347 0.7650 0.7569
Li 0.4834 0.0000 0.9897
Co 0.2165 0.5000 0.1199
Co 0.2222 0.0000 0.3624
Co 0.5053 0.5000 0.5079
Co 0.7319 0.5000 0.8738
Co 0.7344 0.0000 0.6153
Co 0.7660 0.2442 0.2583
Co 0.7660 0.7558 0.2583
Co 0.9735 0.5000 0.4966
O 0.7282 0.2673 0.4928
O 0.7282 0.7327 0.4928
O 0.9741 0.5000 0.2583
O 0.9760 0.0000 0.2328
F 0.0003 0.0000 0.7573
F 0.2404 0.2369 0.9869
F 0.2404 0.7631 0.9869
F 0.2406 0.2653 0.5106
F 0.2406 0.7347 0.5106
F 0.4590 0.5000 0.7521
F 0.4696 0.0000 0.7570
F 0.4978 0.5000 0.2456
F 0.4986 0.0000 0.2351
F 0.7311 0.2356 0.0012
F 0.7311 0.7644 0.0012
F 0.9990 0.5000 0.7451


LiCo2OF3 | GGA+U | relaxed

Calculated values
- Volume: 159.4 Å³/cell
- Magnetic moment: 11.97 μB/cell
- Mass density: 4.12 g/cm3
- Energy above the lowest structure with this stoichiometry: 0 meV/atom

a = 6.1368 Å, b = 6.1368 Å, c = 6.1368 Å
α = 58.91°, β = 58.91°, γ = 58.91°
Fractional positions:
Li 0.0000 0.0000 0.0000
Li 0.3590 0.3590 0.3590
Co 0.0016 0.0016 0.4883
Co 0.0016 0.4883 0.0016
Co 0.4883 0.0016 0.0016
Co 0.6436 0.6436 0.6436
O 0.2296 0.2296 0.2296
O 0.7694 0.7694 0.7694
F 0.2356 0.2356 0.7571
F 0.2356 0.7571 0.2356
F 0.2400 0.7584 0.7584
F 0.7571 0.2356 0.2356
F 0.7584 0.2400 0.7584
F 0.7584 0.7584 0.2400


Li4Co2OF7 | GGA+U | relaxed

Calculated values
- Volume: 301.9 Å³/cell
- Magnetic moment: 14.03 μB/cell
- Mass density: 3.24 g/cm3
- Energy above the lowest structure with this stoichiometry: 0 meV/atom

a = 5.9968 Å, b = 5.9968 Å, c = 10.3216 Å
α = 107.51°, β = 107.51°, γ = 60.15°
Fractional positions:
Li 0.0653 0.5574 0.9288
Li 0.2458 0.7542 0.5000
Li 0.3071 0.8154 0.1746
Li 0.3801 0.8737 0.8578
Li 0.5574 0.0653 0.4288
Li 0.7542 0.2458 0.0000
Li 0.8154 0.3071 0.6746
Li 0.8737 0.3801 0.3578
Co 0.3031 0.3469 0.6900
Co 0.3469 0.3031 0.1900
Co 0.8085 0.8208 0.1816
Co 0.8208 0.8085 0.6816
O 0.1887 0.6605 0.7920
O 0.6605 0.1887 0.2920
F 0.1808 0.2014 0.7925
F 0.1897 0.6791 0.2967
F 0.2014 0.1808 0.2925
F 0.4158 0.4440 0.0597
F 0.4289 0.9472 0.0584
F 0.4382 0.9707 0.5684
F 0.4440 0.4158 0.5597
F 0.6720 0.7098 0.2951
F 0.6791 0.1897 0.7967
F 0.7098 0.6720 0.7951
F 0.9105 0.9437 0.5568
F 0.9437 0.9105 0.0568
F 0.9472 0.4289 0.5584
F 0.9707 0.4382 0.0684


LiCo2OF3 | GGA+U | relaxed

Calculated values
- Volume: 161.9 Å³/cell
- Magnetic moment: 12.00 μB/cell
- Mass density: 4.06 g/cm3
- Energy above the lowest structure with this stoichiometry: 82 meV/atom

a = 6.2269 Å, b = 6.2269 Å, c = 6.2269 Å
α = 57.76°, β = 57.76°, γ = 57.76°
Fractional positions:
Li 0.1465 0.1465 0.1465
Li 0.8535 0.8535 0.8535
Co 0.0000 0.5000 0.5000
Co 0.5000 0.0000 0.5000
Co 0.5000 0.5000 0.0000
Co 0.5000 0.5000 0.5000
O 0.2735 0.2735 0.2735
O 0.7265 0.7265 0.7265
F 0.2536 0.7377 0.7377
F 0.2623 0.2623 0.7464
F 0.2623 0.7464 0.2623
F 0.7377 0.2536 0.7377
F 0.7377 0.7377 0.2536
F 0.7464 0.2623 0.2623


Li3CoO2F | GGA+U | relaxed

Calculated values
- Volume: 147.1 Å³/cell
- Magnetic moment: 6.06 μB/cell
- Mass density: 2.95 g/cm3
- Energy above the lowest structure with this stoichiometry: 42 meV/atom

a = 5.3566 Å, b = 5.4038 Å, c = 5.7531 Å
α = 86.35°, β = 62.99°, γ = 82.45°
Fractional positions:
Li 0.0214 0.4134 0.2027
Li 0.1798 0.1574 0.5134
Li 0.2340 0.8885 0.8967
Li 0.7660 0.1115 0.1033
Li 0.8202 0.8426 0.4866
Li 0.9786 0.5866 0.7973
Co 0.4784 0.3556 0.8170
Co 0.5216 0.6444 0.1830
O 0.1277 0.2483 0.8535
O 0.4075 0.3107 0.1900
O 0.5925 0.6893 0.8100
O 0.8723 0.7517 0.1465
F 0.1908 0.7992 0.5202
F 0.8092 0.2008 0.4798